# 1
La3PdCl: optimized geometry, PBE.

Lattice parameters (Å, degrees): 5.3775 5.3775 5.3775 90.00 90.00 90.00
With the nearest neighbours (Å) after each atom.
Space group Pm-3m (No. 221)
Unique sites:
1 La 0.0000 0.0000 0.5000  2 Cl 2.69
2 Pd 0.5000 0.5000 0.5000  12 La 3.80
3 Cl 0.0000 0.0000 0.0000  6 La 2.69

Computed properties:
Relative energy among the computed polymorphs in eV per atom: 0.0000
Uncorrected energy in eV/atom: -4.83
Uncorrected formation energy in kcal/mol of atoms: -10.68

# 2
CsInI2: optimized geometry, PBE.

Lattice parameters (Å, degrees): 8.2130 8.2130 16.7990 90.00 90.00 90.00
With the nearest neighbours (Å) after each atom.
Space group I-42d (No. 122)
Unique sites:
1 Cs 0.0000 0.0000 0.0000  4 I 3.79
2 In 0.0000 0.0000 0.5000  4 I 3.40
3 I 0.2087 0.2500 0.6250  2 In 3.40, 2 Cs 3.79

Computed properties:
Relative energy among the computed polymorphs in eV per atom: 0.0708
Uncorrected energy in eV/atom: -2.59
Uncorrected formation energy in kcal/mol of atoms: -21.14

# 3
Ac3TbSm3Te8: optimized geometry, PBE.

Lattice parameters (Å, degrees): 9.0434 9.0434 22.7634 90.00 90.00 120.00
With the nearest neighbours (Å) after each atom.
Space group R-3m (No. 166, hexagonal axes)
Unique sites:
1 Ac 0.0000 0.5000 0.0000  6 Te 3.31
2 Tb 0.0000 0.0000 0.5000  6 Te 3.18
3 Sm 0.0000 0.5000 0.5000  6 Te 3.15
4 Te 0.0000 0.0000 0.2438  3 Sm 3.15, 3 Ac 3.31
5 Te 0.0031 0.5015 0.7553  2 Sm 3.15, 1 Tb 3.18, 2 Ac 3.31

Computed properties:
Uncorrected energy in eV/atom: -5.21
Uncorrected formation energy in kcal/mol of atoms: -33.72

# 4
LiInPb2Cl6: optimized geometry, PBE.

Lattice parameters (Å, degrees): 7.3024 7.3078 7.8307 62.23 62.21 60.03
With the nearest neighbours (Å) after each atom.
Space group P1 (No. 1)
Unique sites:
1 Li 0.0000 0.0000 0.0000  6 Cl 2.66-2.71
2 In 0.5171 0.5166 0.4494  6 Cl 3.05-3.36
3 Pb 0.3166 0.3164 0.0505  6 Cl 2.88-2.95
4 Pb 0.8037 0.8034 0.5893  6 Cl 2.91-2.95
5 Cl 0.0794 0.7451 0.7988  1 Li 2.66, 2 Pb 2.91-2.95
6 Cl 0.1752 0.6162 0.2677  1 Li 2.71, 2 Pb 2.89-2.95
7 Cl 0.3767 0.0793 0.7988  1 Li 2.66, 2 Pb 2.92-2.95
8 Cl 0.6160 0.9410 0.2676  1 Li 2.71, 2 Pb 2.88-2.95
9 Cl 0.7456 0.3764 0.7990  1 Li 2.66, 2 Pb 2.92-2.95
10 Cl 0.9411 0.1749 0.2680  1 Li 2.71, 2 Pb 2.89-2.95

Computed properties:
Uncorrected energy in eV/atom: -3.50
Uncorrected formation energy in kcal/mol of atoms: -27.43

| no. | Fermi-level density of states (states/eV per cell) |
| --- | --- |
| 1 | 6.4 |
| 2 | 0.0 |
| 3 | 22.6 |
| 4 | 0.0 |